The following is a DFT calculation (PBE-GGA) of a relaxed MgPAuC2 crystal.

energy of formation from the pure elements	922	kJ/mol of formula units
magnetization	0.00	μB per formula unit
SG	P4/mmm, No. 123

Unit cell a=3.9801 b=3.9801 c=5.5330 alpha=90.00 beta=90.00 gamma=90.00
With the nearest neighbours (Å) after each atom.
Positions (direct):
Mg  0.0000  0.0000  0.0000  4 P 2.81
P  0.5000  0.5000  0.0000  2 Au 2.77, 4 Mg 2.81
Au  0.5000  0.5000  0.5000  4 C 1.99
C  0.0000  0.5000  0.5000  2 Au 1.99
C  0.5000  0.0000  0.5000  2 Au 1.99

The following is a DFT calculation (PBE-GGA) of a relaxed LiHoGaSn crystal.

energy of formation from the pure elements	-162	kJ/mol of formula units
magnetization	0.00	μB per formula unit
SG	F-43m, No. 216

Unit cell a=5.0068 b=5.0068 c=5.0068 alpha=60.00 beta=60.00 gamma=60.00
With the nearest neighbours (Å) after each atom.
Positions (direct):
Li  0.0000  0.0000  0.0000  4 Sn 3.07, 4 Ga 3.07
Ho  0.5000  0.5000  0.5000  4 Sn 3.07, 4 Ga 3.07
Ga  0.2500  0.2500  0.2500  4 Ho 3.07, 4 Li 3.07
Sn  0.7500  0.7500  0.7500  4 Li 3.07, 4 Ho 3.07

The following is a DFT calculation (PBE-GGA) of a relaxed BeCdB3 crystal.

energy of formation from the pure elements	1286	kJ/mol of formula units
magnetization	0.00	μB per formula unit
SG	Pm-3m, No. 221

Unit cell a=4.3531 b=4.3531 c=4.3531 alpha=90.00 beta=90.00 gamma=90.00
With the nearest neighbours (Å) after each atom.
Positions (direct):
Be  0.0000  0.0000  0.0000  12 B 3.08
Cd  0.5000  0.5000  0.5000  6 B 2.18
B  0.0000  0.5000  0.5000  2 Cd 2.18
B  0.5000  0.0000  0.5000  2 Cd 2.18
B  0.5000  0.5000  0.0000  2 Cd 2.18

The following is a DFT calculation (PBE-GGA) of a relaxed NdPd2 crystal.

energy of formation from the pure elements	-188	kJ/mol of formula units
magnetization	0.00	μB per formula unit
SG	C2/m, No. 12

Unit cell a=3.6778 b=3.6778 c=5.2759 alpha=110.30 beta=110.30 gamma=90.02
With the nearest neighbours (Å) after each atom.
Positions (direct):
Nd  0.0000  0.0000  0.0000  10 Pd 3.03-3.04
Pd  0.3305  0.3305  0.6598  5 Pd 2.98-3.13, 5 Nd 3.03-3.04
Pd  0.6695  0.6695  0.3402  5 Pd 2.98-3.13, 5 Nd 3.03-3.04

The following is a DFT calculation (PBE-GGA) of a relaxed Zr3In crystal.

energy of formation from the pure elements	-33	kJ/mol of formula units
magnetization	0.00	μB per formula unit
SG	P-6m2, No. 187

Unit cell a=3.2524 b=3.2524 c=10.2532 alpha=90.00 beta=90.00 gamma=120.00
With the nearest neighbours (Å) after each atom.
Positions (direct):
Zr  0.0000  0.0000  0.0000  12 Zr 3.16-3.25
Zr  0.6667  0.3333  0.2484  9 Zr 3.16-3.25, 3 In 3.19
Zr  0.6667  0.3333  0.7516  9 Zr 3.16-3.25, 3 In 3.19
In  0.0000  0.0000  0.5000  6 Zr 3.19, 6 In 3.25

The following is a DFT calculation (PBE-GGA) of a relaxed LiScGa2Cl6 crystal.

magnetization	0.00	μB per formula unit
uncorrected formation energy	-1429	kJ/mol of formula units
SG	P2_1/c, No. 14

Unit cell a=6.8801 b=7.2068 c=11.9645 alpha=90.00 beta=124.60 gamma=90.00
With the nearest neighbours (Å) after each atom.
Positions (direct):
Li  0.0000  0.0000  0.0000  6 Cl 2.59-2.65
Li  0.0000  0.5000  0.5000  6 Cl 2.59-2.65
Sc  0.5000  0.0000  0.5000  6 Cl 2.51
Sc  0.5000  0.5000  0.0000  6 Cl 2.51
Ga  0.2227  0.0768  0.7405  7 Cl 3.00-3.30
Ga  0.2227  0.4232  0.2405  7 Cl 3.00-3.30
Ga  0.7773  0.5768  0.7595  7 Cl 3.00-3.30
Ga  0.7773  0.9232  0.2595  7 Cl 3.00-3.30
Cl  0.1611  0.1937  0.4573  1 Sc 2.51, 1 Li 2.65
Cl  0.1611  0.3063  0.9573  1 Sc 2.51, 1 Li 2.65
Cl  0.2605  0.7119  0.4527  1 Sc 2.51, 1 Li 2.65
Cl  0.2605  0.7881  0.9527  1 Sc 2.51, 1 Li 2.65
Cl  0.3459  0.0211  0.2535  1 Sc 2.51, 1 Li 2.59
Cl  0.3459  0.4789  0.7535  1 Sc 2.51, 1 Li 2.59
Cl  0.6541  0.5211  0.2465  1 Sc 2.51, 1 Li 2.59
Cl  0.6541  0.9789  0.7465  1 Sc 2.51, 1 Li 2.59
Cl  0.7395  0.2119  0.0473  1 Sc 2.51, 1 Li 2.65
Cl  0.7395  0.2881  0.5473  1 Sc 2.51, 1 Li 2.65
Cl  0.8389  0.6937  0.0427  1 Sc 2.51, 1 Li 2.65
Cl  0.8389  0.8063  0.5427  1 Sc 2.51, 1 Li 2.65

The following is a DFT calculation (PBE-GGA) of a relaxed NaSr2SiO crystal.

magnetization	0.00	μB per formula unit
uncorrected formation energy	-122	kJ/mol of formula units
SG	P4/mmm, No. 123

Unit cell a=6.4993 b=6.4993 c=3.7588 alpha=90.00 beta=90.00 gamma=90.00
With the nearest neighbours (Å) after each atom.
Positions (direct):
Na  0.0000  0.0000  0.0000  8 Sr 3.75, 2 Na 3.76
Sr  0.0000  0.5000  0.5000  2 Si 3.25
Sr  0.5000  0.0000  0.5000  2 Si 3.25
Si  0.5000  0.5000  0.5000  2 O 1.88
O  0.5000  0.5000  0.0000  2 Si 1.88

The following is a DFT calculation (PBE-GGA) of a relaxed ScUTe2 crystal.

magnetization	3.17	μB per formula unit
uncorrected formation energy	-295	kJ/mol of formula units
SG	R-3m, No. 166

Unit cell a=7.7523 b=7.7523 c=7.7523 alpha=30.87 beta=30.87 gamma=30.87
With the nearest neighbours (Å) after each atom.
Positions (direct):
Sc  0.0000  0.0000  0.0000  6 Te 2.93
U  0.5000  0.5000  0.5000  6 Te 3.10
Te  0.2566  0.2566  0.2566  3 Sc 2.93, 3 U 3.10
Te  0.7434  0.7434  0.7434  3 Sc 2.93, 3 U 3.10

Number 1: calculated volume 17.5 Å³/atom. Number 2: calculated volume 22.2 Å³/atom. Number 3: calculated volume 16.5 Å³/atom. Number 4: calculated volume 20.7 Å³/atom. Number 5: calculated volume 23.5 Å³/atom. Number 6: calculated volume 24.4 Å³/atom. Number 7: calculated volume 31.8 Å³/atom. Number 8: calculated volume 27.2 Å³/atom.